Record 1
First-principles (PBE) data for a relaxed structure of Ca2NdP, as listed in Alexandria via LeMat-Bulk.

Output
**Raw total energy**: -0.288 Ry per atom
**Space group**: R-3m
**E_form**: -367 meV per atom

a b c (Å): 3.967 3.967 10.959
angles (deg): 79.57 79.57 60.00
Element x y z (fractional)
P: 0.500 0.500 0.500
Ca: 0.119 0.119 0.643
Ca: 0.881 0.881 0.357
Nd: 0.000 0.000 0.000

=====

Record 2
First-principles (PBE) data for a relaxed structure of CaNdP, as listed in Alexandria via LeMat-Bulk.

Output
**Raw total energy**: -0.362 Ry per atom
**Space group**: P3m1
**E_form**: -859 meV per atom

a b c (Å): 6.732 4.101 4.101
angles (deg): 120.00 90.00 90.00
Last column: magnetic moment on the atom in μB.
Element x y z (fractional)
P: 0.340 0.333 0.667  -0.01
Ca: 0.091 0.000 0.000  0.01
Nd: 0.569 0.667 0.333  0.10

=====

Record 3
First-principles (PBE) data for a relaxed structure of CaNd2P, as listed in Alexandria via LeMat-Bulk.

Output
**Raw total energy**: -0.363 Ry per atom
**Space group**: R3m
**E_form**: -697 meV per atom

a b c (Å): 4.021 4.021 10.181
angles (deg): 78.61 78.61 60.00
Last column: magnetic moment on the atom in μB.
Element x y z (fractional)
Ca: 0.500 0.500 0.499  0.06
Nd: 0.055 0.055 0.836  0.07
Nd: 0.278 0.278 0.165  0.08
P: 0.666 0.666 0.001  0.00